--- 1 ---
Entry from the Alexandria database: crystalline HgS2Br at its relaxed geometry (GGA-PBE).

Output
For the density of states at the Fermi level, the calculation gives 0.56 states/eV/f.u.

Cell lengths 4.134, 4.431, 7.334 Å; angles 85.62, 77.19, 79.34 degrees
Sites, in units of the cell vectors:
Hg: 0.000 0.000 0.000
S: 0.055 0.317 0.250
S: 0.415 0.130 0.378
Br: 0.732 0.707 0.802

=====

--- 2 ---
Entry from the Alexandria database: crystalline HgS2Br at its relaxed geometry (GGA-PBE).

Output
For the density of states at the Fermi level, the calculation gives 3.90 states/eV/f.u.

Cell lengths 7.932, 7.932, 7.932 Å; angles 29.56, 29.56, 29.56 degrees
Sites, in units of the cell vectors:
Hg: 0.000 0.000 0.000
S: 0.393 0.393 0.393
S: 0.607 0.607 0.607
Br: 0.500 0.500 0.500

=====

Which one is most stable, and which one is least stable? 1 is the most stable of them, while 2 is the least stable.

=====

--- 1 ---
Entry from the Alexandria database: crystalline HgS2Br at its relaxed geometry (GGA-PBE).

Output
For the density of states at the Fermi level, the calculation gives 3.46 states/eV/f.u.

Cell lengths 11.679, 11.679, 11.679 Å; angles 15.51, 15.51, 15.51 degrees
Sites, in units of the cell vectors:
Hg: 0.000 0.000 0.000
S: 0.068 0.068 0.068
S: 0.932 0.932 0.932
Br: 0.500 0.500 0.500

=====

--- 2 ---
Entry from the Alexandria database: crystalline HgS2Br at its relaxed geometry (GGA-PBE).

Output
For the density of states at the Fermi level, the calculation gives 6.75 states/eV/f.u.

Cell lengths 4.888, 4.888, 4.888 Å; angles 60.00, 60.00, 60.00 degrees
Sites, in units of the cell vectors:
Hg: 0.000 0.000 0.000
S: 0.250 0.250 0.250
S: 0.750 0.750 0.750
Br: 0.500 0.500 0.500

=====

--- 3 ---
Entry from the Alexandria database: crystalline HgS2Br at its relaxed geometry (GGA-PBE).

Output
For the density of states at the Fermi level, the calculation gives 0.88 states/eV/f.u.

Cell lengths 8.397, 8.397, 8.397 Å; angles 142.32, 142.32, 54.34 degrees
Sites, in units of the cell vectors:
Hg: 0.000 0.000 0.000
Hg: 0.750 0.250 0.500
S: 0.126 0.625 0.001
S: 0.375 0.376 0.501
S: 0.624 0.125 0.999
S: 0.875 0.874 0.499
Br: 0.250 0.750 0.500
Br: 0.500 0.500 0.000

=====

Which one is most stable, and which one is least stable? 3 is the most stable of them, while 2 is the least stable.